TbDy2Au2, optimized geometry, DFT PBE; SG = P4/mbm; energy relative to the elements = -0.701 eV/atom
1.0
3.8003 0.0000 0.0000
0.0000 8.1778 0.0000
0.0000 0.0000 8.1778
Au Dy Tb
4 4 2
direct
0.0000 0.3676 0.8676
0.0000 0.8676 0.6324
0.0000 0.6324 0.1324
0.0000 0.1324 0.3676
0.5000 0.6627 0.8373
0.5000 0.3373 0.1627
0.5000 0.8373 0.3373
0.5000 0.1627 0.6627
0.0000 0.5000 0.5000
0.0000 0.0000 0.0000

---

TbDyAu4, optimized geometry, DFT PBE; SG = P-1; energy relative to the elements = -0.860 eV/atom
1.0
3.6182 -0.7623 0.6053
-0.9473 5.1569 0.5195
0.8464 0.6878 7.4029
Au Dy Tb
4 1 1
direct
0.6669 0.9987 0.1672
0.1689 0.5004 0.6650
0.8337 0.4942 0.3313
0.3358 0.9959 0.8290
0.0013 0.9973 0.4981
0.5013 0.4973 0.9982

---

Tb5DyAu6, optimized geometry, DFT PBE; SG = Immm; energy relative to the elements = -0.852 eV/atom
1.0
-0.5012 -5.1074 -0.0878
6.7757 -0.6275 -2.1863
5.4760 -3.2224 6.2132
Tb Au Dy
5 6 1
direct
0.0000 0.5000 0.0000
0.3335 0.3334 0.3332
0.3333 0.8332 0.3336
0.6665 0.6666 0.6668
0.6667 0.1668 0.6664
0.4999 0.2484 0.0001
0.8342 0.0832 0.3323
0.8341 0.5847 0.3322
0.1658 0.9168 0.6677
0.5001 0.7516 0.9999
0.1659 0.4153 0.6678
0.0000 0.0000 0.0000

---

TbDyAu, optimized geometry, DFT PBE; SG = I4mm; energy relative to the elements = -0.535 eV/atom
1.0
3.6046 0.0000 0.0000
0.0000 3.6046 0.0000
-1.8023 -1.8023 6.1620
Dy Au Tb
1 1 1
direct
0.3059 0.3059 0.6119
0.9487 0.9487 0.8973
0.5954 0.5954 0.1908

---

Tb3Dy2Au2, optimized geometry, DFT PBE; SG = C2/m; energy relative to the elements = -0.494 eV/atom
1.0
-1.1447 1.1093 -3.3662
-3.1062 -5.6903 1.2416
-3.9491 7.3719 3.7722
Dy Au Tb
2 2 3
direct
0.8483 0.6966 0.1874
0.1517 0.3034 0.8126
0.1717 0.3433 0.2281
0.8283 0.6567 0.7719
0.6133 0.2265 0.4443
0.3867 0.7735 0.5557
0.5000 0.0000 0.0000

---

TbDyAu5, optimized geometry, DFT PBE; SG = C2/c; energy relative to the elements = -0.670 eV/atom
1.0
-3.6828 1.8917 -3.3064
-2.9753 -3.0843 3.1159
1.6912 8.9448 6.7441
Au Tb Dy
10 2 2
direct
0.7618 0.4786 0.5419
0.4506 0.9561 0.3531
0.0667 0.9333 0.7500
0.2382 0.5215 0.4581
0.5215 0.2382 0.9581
0.5494 0.0439 0.6469
0.9561 0.4506 0.8531
0.9333 0.0667 0.2500
0.4786 0.7618 0.0419
0.0439 0.5494 0.1469
0.0000 0.0000 0.5000
0.0000 0.0000 0.0000
0.4326 0.5674 0.7500
0.5674 0.4326 0.2500

---

Tb2DyAu3, optimized geometry, DFT PBE; SG = P4/mmm; energy relative to the elements = -0.857 eV/atom
1.0
3.5921 0.0000 0.0000
0.0000 3.5921 0.0000
0.0000 0.0000 10.9256
Dy Tb Au
1 2 3
direct
0.5000 0.5000 0.5000
0.5000 0.5000 0.1672
0.5000 0.5000 0.8328
0.0000 0.0000 0.3352
0.0000 0.0000 0.6648
0.0000 0.0000 0.0000

---

Tb3DyAu2, optimized geometry, DFT PBE; SG = Pmc2_1; energy relative to the elements = -0.627 eV/atom
1.0
-1.4035 3.6554 3.0948
-6.8236 -1.6309 -1.1682
0.1970 -5.7709 6.9058
Dy Au Tb
2 4 6
direct
0.5000 0.5114 0.5735
0.5000 0.0114 0.4265
0.0000 0.2594 0.6520
0.5000 0.2405 0.1531
0.0000 0.7594 0.3480
0.5000 0.7405 0.8469
0.0000 0.3499 0.3326
0.5000 0.1501 0.8321
0.0000 0.8499 0.6674
0.0000 0.9887 0.0738
0.5000 0.6501 0.1679
0.0000 0.4887 0.9262

---

TbDyAu4, optimized geometry, DFT PBE; SG = Cmmm; energy relative to the elements = -0.858 eV/atom
1.0
4.6341 -0.5075 2.5586
0.4457 5.2829 0.2483
0.1212 -0.2546 5.2558
Au Tb Dy
4 1 1
direct
0.1644 0.0001 0.1711
0.8356 0.9999 0.8289
0.3350 0.4999 0.8301
0.6650 0.5001 0.1699
0.5000 0.0000 0.5000
0.0000 0.5000 0.5000

---

TbDyAu, optimized geometry, DFT PBE; SG = P3m1; energy relative to the elements = -0.416 eV/atom
1.0
-3.0315 -0.6769 -2.2139
-0.7463 -4.2629 2.3252
-2.1270 4.1069 1.6568
Dy Tb Au
1 1 1
direct
0.2635 0.3333 0.6667
0.7313 0.6667 0.3333
0.0052 0.0000 0.0000

---

TbDyAu, optimized geometry, DFT PBE; SG = P4/nmm; energy relative to the elements = -0.525 eV/atom
1.0
4.7477 0.0000 0.0000
0.0000 4.7477 0.0000
0.0000 0.0000 7.3531
Tb Au Dy
2 2 2
direct
0.0000 0.5000 0.8731
0.5000 0.0000 0.1269
0.0000 0.5000 0.2577
0.5000 0.0000 0.7423
0.5000 0.5000 0.5000
0.0000 0.0000 0.5000

---

TbDyAu, optimized geometry, DFT PBE; SG = Pnma; energy relative to the elements = -0.632 eV/atom
1.0
-3.8629 -1.7995 -2.5778
5.4955 -2.0972 -6.7711
1.0814 -6.4329 2.8701
Dy Au Tb
4 4 4
direct
0.7500 0.9182 0.1496
0.2500 0.4182 0.3504
0.2500 0.0818 0.8504
0.7500 0.5818 0.6496
0.7500 0.5977 0.2427
0.2500 0.4023 0.7573
0.2500 0.0977 0.2573
0.7500 0.9023 0.7427
0.7500 0.1765 0.5120
0.2500 0.6765 0.9880
0.2500 0.8235 0.4880
0.7500 0.3235 0.0120

---

Tb2Dy3Au2, optimized geometry, DFT PBE; SG = C2/m; energy relative to the elements = -0.500 eV/atom
1.0
-0.1351 3.6095 -0.8739
-5.8699 -2.5356 -1.6633
0.8660 2.1794 8.8676
Tb Dy Au
2 3 2
direct
0.1516 0.3032 0.8129
0.8484 0.6968 0.1871
0.5000 0.0000 0.0000
0.3865 0.7731 0.5554
0.6135 0.2269 0.4446
0.1705 0.3410 0.2301
0.8295 0.6590 0.7699

---

Tb4DyAu2, optimized geometry, DFT PBE; SG = R-3m; energy relative to the elements = -0.245 eV/atom
1.0
4.9667 0.0000 0.0000
2.4833 4.3013 0.0000
2.4833 1.4338 9.9979
Au Tb Dy
2 4 1
direct
0.3989 0.3989 0.8034
0.6011 0.6011 0.1966
0.1037 0.1037 0.6890
0.2980 0.2980 0.1061
0.7020 0.7020 0.8939
0.8963 0.8963 0.3110
0.5000 0.5000 0.5000

---

Tb4DyAu5, optimized geometry, DFT PBE; SG = P4/mmm; energy relative to the elements = -0.855 eV/atom
1.0
-2.8627 -0.5839 2.0761
0.6771 -3.5192 -0.0561
10.4721 1.7767 14.9390
Tb Au Dy
4 5 1
direct
0.0000 0.0000 0.8005
0.0000 0.0000 0.3998
0.0000 0.0000 0.6002
0.0000 0.0000 0.1995
0.5000 0.5000 0.9012
0.5000 0.5000 0.7005
0.5000 0.5000 0.5000
0.5000 0.5000 0.0988
0.5000 0.5000 0.2995
0.0000 0.0000 0.0000

---

TbDyAu2, optimized geometry, DFT PBE; SG = P4/mmm; energy relative to the elements = -0.855 eV/atom
1.0
-0.8951 1.6844 -3.0358
-2.5393 -4.1610 -1.5600
-4.2562 1.7606 2.2318
Au Dy Tb
2 1 1
direct
0.0000 0.0000 0.5000
0.0000 0.5000 0.0000
0.5000 0.0000 0.0000
0.5000 0.5000 0.5000

---

TbDy5Au6, optimized geometry, DFT PBE; SG = Immm; energy relative to the elements = -0.860 eV/atom
1.0
4.9125 0.0214 -1.4340
-0.9780 6.2600 -3.2597
-0.0871 0.5355 8.8427
Dy Au Tb
5 6 1
direct
0.0000 0.5000 0.0000
0.3332 0.3332 0.6664
0.3335 0.8335 0.6670
0.6665 0.1665 0.3330
0.6668 0.6668 0.3336
0.5000 0.7483 0.0000
0.1673 0.9165 0.3346
0.5000 0.2517 0.0000
0.8327 0.5819 0.6654
0.1673 0.4181 0.3346
0.8327 0.0835 0.6654
0.0000 0.0000 0.0000

---

Tb3DyAu2, optimized geometry, DFT PBE; SG = Ibam; energy relative to the elements = -0.450 eV/atom
1.0
-4.4786 -4.1701 -3.5212
-0.0817 -4.6821 5.6488
-3.0911 7.8582 1.7033
Au Tb Dy
4 6 2
direct
0.1534 0.8587 0.7174
0.4359 0.6413 0.2826
0.5641 0.3587 0.7174
0.8466 0.1413 0.2826
0.5000 0.7500 0.0000
0.5000 0.2500 0.0000
0.7673 0.0173 0.5346
0.2327 0.4827 0.4654
0.2327 0.9827 0.4654
0.7673 0.5173 0.5346
0.0000 0.5000 0.0000
0.0000 0.0000 0.0000

---

Tb2Dy2Au3, optimized geometry, DFT PBE; SG = P-1; energy relative to the elements = -0.683 eV/atom
1.0
4.8424 -0.0032 -1.3589
-2.6135 4.3015 -0.0071
-0.1514 -0.1007 8.8526
Au Dy Tb
3 2 2
direct
0.4879 0.2437 0.7317
0.0000 0.0000 0.0000
0.5121 0.7563 0.2683
0.7502 0.3752 0.1251
0.2498 0.6248 0.8749
0.7506 0.8749 0.6260
0.2494 0.1251 0.3740

---

TbDyAu, optimized geometry, DFT PBE; SG = R3m; energy relative to the elements = -0.461 eV/atom
1.0
4.8333 -0.1499 -1.2686
-2.5558 4.2780 -0.3983
-0.4595 0.4688 8.0340
Au Tb Dy
2 2 2
direct
0.1535 0.7105 0.8640
0.4531 0.8594 0.3125
0.7196 0.9932 0.7128
0.0447 0.1554 0.2002
0.5607 0.4139 0.9746
0.8859 0.5762 0.4621

---

no.,spin magnetization (μB per formula unit)
1,0.0
2,0.0
3,0.0
4,0.8
5,0.0
6,0.0
7,0.0
8,0.0
9,0.0
10,0.0
11,0.0
12,0.0
13,0.0
14,0.0
15,0.0
16,0.0
17,0.0
18,0.0
19,0.0
20,0.0